[1]
This record from Alexandria via LeMat-Bulk describes Ca3Tb3ScSe8 after structural relaxation. The functional is PBE. Values from VASP.

Structure (Quantum ESPRESSO input):
```
&SYSTEM
  ibrav = 0, nat = 15, ntyp = 4
/
ATOMIC_SPECIES
Se 78.96 Se.upf
Ca 40.08 Ca.upf
Sc 44.96 Sc.upf
Tb 158.93 Tb.upf
ATOMIC_POSITIONS angstrom
Se 4.0820 0.0187 5.1117
Se 1.9727 -1.2112 1.8169
Ca -2.0410 3.5367 -0.0126
Se 6.1913 -1.2112 1.8169
Se 2.1093 3.5929 5.0179
Ca 0.0000 0.0000 0.0000
Se -2.1093 3.5929 5.0179
Ca 2.0410 3.5367 -0.0126
Sc 0.0000 -2.3459 3.4300
Tb 2.0410 1.1908 3.4174
Se 4.0820 2.4403 1.8029
Se 0.0000 -0.0587 5.0319
Tb 4.0820 -2.3459 3.4300
Tb -2.0410 1.1908 3.4174
Se 0.0000 2.3630 1.7231
CELL_PARAMETERS angstrom
8.1640 0.0000 0.0000
-4.0820 7.0735 -0.0252
0.0000 -4.6918 6.8600
```

Properties
Total magnetization in μB/atom: 0.000
Energy in eV per atom: -5.5040
Calculated volume in Å³ per atom: 26.35


[2]
This record from Alexandria via LeMat-Bulk describes CaNiAs3 after structural relaxation. The functional is PBE. Values from VASP.

Structure (Quantum ESPRESSO input):
```
&SYSTEM
  ibrav = 0, nat = 5, ntyp = 3
/
ATOMIC_SPECIES
As 74.92 As.upf
Ni 58.69 Ni.upf
Ca 40.08 Ca.upf
ATOMIC_POSITIONS angstrom
As 0.0000 0.0000 2.6288
Ni 2.6288 2.6288 2.6288
As 0.0000 2.6288 0.0000
Ca 0.0000 0.0000 0.0000
As 2.6288 0.0000 0.0000
CELL_PARAMETERS angstrom
5.2575 0.0000 0.0000
0.0000 5.2575 0.0000
0.0000 0.0000 5.2575
```

Properties
Total magnetization in μB/atom: 0.000
Energy in eV per atom: -3.0791
Energy of formation in eV per atom: 1.267
Polymorph energy (0 for the lowest one) in meV/atom: 1421
Calculated volume in Å³ per atom: 29.07


[3]
This record from Alexandria via LeMat-Bulk describes PaZn2Hg after structural relaxation. The functional is PBE. Values from VASP.

Structure (Quantum ESPRESSO input):
```
&SYSTEM
  ibrav = 0, nat = 4, ntyp = 3
/
ATOMIC_SPECIES
Pa 231.04 Pa.upf
Hg 200.59 Hg.upf
Zn 65.41 Zn.upf
ATOMIC_POSITIONS angstrom
Pa -0.8811 -1.1762 3.5519
Hg -1.5031 0.7597 0.9109
Zn -0.6735 -2.1526 0.6840
Zn 1.2955 0.2166 1.9570
CELL_PARAMETERS angstrom
-3.0063 1.5195 1.8219
-1.3469 -4.3051 1.3680
2.5909 0.4332 3.9140
```

Properties
Total magnetization in μB/atom: 0.209
Energy in eV per atom: -2.9558
Energy of formation in eV per atom: 0.131
Polymorph energy (0 for the lowest one) in meV/atom: 124
Calculated volume in Å³ per atom: 21.27


[4]
This record from Alexandria via LeMat-Bulk describes CuTePdN2 after structural relaxation. The functional is PBE. Values from VASP.

Structure (Quantum ESPRESSO input):
```
&SYSTEM
  ibrav = 0, nat = 5, ntyp = 4
/
ATOMIC_SPECIES
Cu 63.55 Cu.upf
Te 127.60 Te.upf
Pd 106.42 Pd.upf
N 14.01 N.upf
ATOMIC_POSITIONS angstrom
Cu 0.0000 0.0000 0.0000
Te -0.2747 -2.5736 1.4461
Pd -1.8468 -3.5138 -0.5258
N -1.8712 0.0047 -0.3471
N 0.2990 -0.9448 -1.6247
CELL_PARAMETERS angstrom
-3.7424 0.0093 -0.6943
0.5981 -1.8897 -3.2494
-0.5494 -5.1472 2.8922
```

Properties
Total magnetization in μB/atom: 0.712
Energy in eV per atom: -4.3949
Polymorph energy (0 for the lowest one) in meV/atom: 36
Calculated volume in Å³ per atom: 17.18


| no. | D(E_F) (states/eV/atom) |
| --- | --- |
| 1 | 0.3123 |
| 2 | 1.8306 |
| 3 | 1.4002 |
| 4 | 0.8046 |